No. 1
# Tl2RhW

A geometry-optimized Tl2RhW structure (PBE, Alexandria).

The structure in POSCAR format:
```
Tl2RhW
1.0
-2.062 2.062 4.493
2.062 -2.062 4.493
2.062 2.062 -4.493
Tl W Rh
2 1 1
Direct
0.250 0.750 0.500
0.000 0.000 0.000
0.500 0.500 0.000
0.750 0.250 0.500
```

## Properties
The total energy comes out at -5.38 eV per atom. As for the energy of formation: 0.8762 eV/atom.

=====

No. 2
# Tl2RhW

A geometry-optimized Tl2RhW structure (PBE, Alexandria).

The structure in POSCAR format:
```
Tl2RhW
1.0
-1.473 2.439 5.703
1.473 -2.439 5.703
1.473 2.439 -5.703
Tl W Rh
2 1 1
Direct
0.275 0.775 0.500
0.982 0.982 0.000
0.529 0.529 0.000
0.714 0.214 0.500
```

## Properties
The total energy comes out at -5.64 eV per atom. As for the energy of formation: 0.6189 eV/atom.

=====

No. 3
# Tl2RhW

A geometry-optimized Tl2RhW structure (PBE, Alexandria).

The structure in POSCAR format:
```
Tl2RhW
1.0
2.316 -2.045 3.619
-1.358 -4.278 1.580
2.747 -3.807 -0.781
W Rh Tl
1 1 2
Direct
0.500 0.500 0.500
0.000 0.000 0.000
0.750 0.750 0.750
0.250 0.250 0.250
```

## Properties
The total energy comes out at -5.38 eV per atom. As for the energy of formation: 0.8811 eV/atom.

=====

No. 4
# Tl2RhW

A geometry-optimized Tl2RhW structure (PBE, Alexandria).

The structure in POSCAR format:
```
Tl2RhW
1.0
3.083 0.000 0.000
0.000 2.991 0.049
0.000 1.322 8.914
Rh Tl W
1 2 1
Direct
0.500 0.544 0.287
0.000 0.165 0.041
0.500 0.333 0.712
0.000 0.959 0.460
```

## Properties
The total energy comes out at -5.90 eV per atom. As for the energy of formation: 0.3556 eV/atom.

=====

No. 5
# YTl2Rh

A geometry-optimized YTl2Rh structure (PBE, Alexandria).

The structure in POSCAR format:
```
YTl2Rh
1.0
-4.280 -1.971 -1.203
0.756 -2.821 1.930
-2.087 1.493 4.979
Rh Y Tl
1 1 2
Direct
0.500 0.750 0.750
0.500 0.250 0.250
0.000 0.592 0.521
0.000 0.908 0.979
```

## Properties
The total energy comes out at -4.79 eV per atom. As for the energy of formation: -0.1541 eV/atom.

=====

No. 6
# Y11Tl9Rh4

A geometry-optimized Y11Tl9Rh4 structure (PBE, Alexandria).

The structure in POSCAR format:
```
Y11Tl9Rh4
1.0
3.714 0.000 0.000
0.000 12.204 -5.138
0.000 0.071 13.241
Y Rh Tl
11 4 9
Direct
0.000 0.311 0.311
0.000 0.417 0.081
0.000 0.919 0.583
0.000 0.689 0.689
0.000 0.000 0.000
0.000 0.626 0.374
0.000 0.374 0.626
0.000 0.163 0.837
0.000 0.081 0.417
0.000 0.583 0.919
0.000 0.837 0.163
0.500 0.752 0.551
0.500 0.551 0.752
0.500 0.449 0.248
0.500 0.248 0.449
0.500 0.500 0.500
0.500 0.783 0.929
0.500 0.370 0.847
0.500 0.847 0.370
0.500 0.630 0.153
0.500 0.929 0.783
0.500 0.153 0.630
0.500 0.071 0.217
0.500 0.217 0.071
```

## Properties
The total energy comes out at -5.64 eV per atom. As for the energy of formation: -0.5670 eV/atom.

=====

No. 7
# YTl2Rh

A geometry-optimized YTl2Rh structure (PBE, Alexandria).

The structure in POSCAR format:
```
YTl2Rh
1.0
-4.589 2.467 -1.258
-5.269 -0.968 0.163
-2.015 2.164 4.265
Tl Rh Y
2 1 1
Direct
0.023 0.023 0.965
0.477 0.477 0.535
0.750 0.750 0.750
0.250 0.250 0.250
```

## Properties
The total energy comes out at -4.86 eV per atom. As for the energy of formation: -0.2225 eV/atom.

=====

No. 8
# Y6Tl3Rh

A geometry-optimized Y6Tl3Rh structure (PBE, Alexandria).

The structure in POSCAR format:
```
Y6Tl3Rh
1.0
-2.258 4.589 -1.172
-6.898 -1.991 5.495
5.641 5.049 8.911
Tl Y Rh
6 12 2
Direct
0.000 0.000 0.500
0.500 0.156 0.260
0.000 0.656 0.240
0.500 0.500 0.000
0.500 0.844 0.740
0.000 0.344 0.760
0.500 0.185 0.584
0.500 0.842 0.083
0.500 0.510 0.736
0.000 0.685 0.916
0.500 0.815 0.416
0.000 0.010 0.764
0.000 0.658 0.583
0.500 0.490 0.264
0.500 0.158 0.917
0.000 0.315 0.084
0.000 0.342 0.417
0.000 0.990 0.236
0.000 0.000 0.000
0.500 0.500 0.500
```

## Properties
The total energy comes out at -5.71 eV per atom. As for the energy of formation: -0.3850 eV/atom.